Entry 1:
A plane-wave DFT calculation with PBE-GGA was carried out for a geometry-optimized MgBRh3 structure.

Summary:
**Magnetic moment**: 0.000 Bohr magnetons per cell
**Energy above the lowest structure with this stoichiometry**: 0.139 eV/atom
**SG**: C2/c
**Uncorrected energy**: -6.336 eV per atom
**ΔH_f (0 K)**: -270.5 meV/atom

Cell: 10.7113 7.4615 7.4615 Å, 80.29 124.71 55.29°
With the nearest neighbours (Å) after each atom.
Atoms (fractional coordinates):
Rh 0.4141 0.3844 0.4823  3 B 2.10-2.14
Rh 0.9008 0.7789 0.8371  2 B 2.09-2.11
Rh 0.5859 0.6156 0.5177  3 B 2.10-2.14
Rh 0.5992 0.3371 0.2789  2 B 2.09-2.11
Rh 0.4200 0.1359 0.2349  1 B 2.05
Rh 0.9141 0.0177 0.1156  3 B 2.10-2.14
Rh 0.5800 0.8641 0.7651  1 B 2.05
Rh 0.0992 0.2211 0.1629  2 B 2.09-2.11
Rh 0.0859 0.9823 0.8844  3 B 2.10-2.14
Rh 0.4008 0.6629 0.7211  2 B 2.09-2.11
Rh 0.0800 0.7349 0.6359  1 B 2.05
Rh 0.9200 0.2651 0.3641  1 B 2.05
B 0.2500 0.5549 0.0549  6 Rh 2.05-2.14
B 0.7500 0.1879 0.6879  6 Rh 2.09-2.14
B 0.7500 0.4451 0.9451  6 Rh 2.05-2.14
B 0.2500 0.8121 0.3121  6 Rh 2.09-2.14
Mg 0.5684 0.1361 0.0086  8 Rh 2.69-2.94, 2 Mg 3.01
Mg 0.0684 0.4914 0.3639  8 Rh 2.69-2.94, 2 Mg 3.01
Mg 0.4316 0.8639 0.9914  8 Rh 2.69-2.94, 2 Mg 3.01
Mg 0.9316 0.5086 0.6361  8 Rh 2.69-2.94, 2 Mg 3.01

***

Entry 2:
A plane-wave DFT calculation with PBE-GGA was carried out for a geometry-optimized MgBRh3 structure.

Summary:
**Magnetic moment**: 0.000 Bohr magnetons per cell
**Energy above the lowest structure with this stoichiometry**: 0.158 eV/atom
**SG**: P2_1/c
**Uncorrected energy**: -6.317 eV per atom
**ΔH_f (0 K)**: -251.6 meV/atom

Cell: 19.8967 4.7890 7.7223 Å, 90.00 158.02 90.00°
With the nearest neighbours (Å) after each atom.
Atoms (fractional coordinates):
Rh 0.6260 0.6004 0.6892  2 B 2.09-2.20
Rh 0.8060 0.5990 0.4616  2 B 2.12-2.13
Rh 0.1260 0.8996 0.1892  2 B 2.09-2.20
Rh 0.8740 0.1004 0.8108  2 B 2.09-2.20
Rh 0.6880 0.1126 0.6730  1 B 2.14
Rh 0.3120 0.8874 0.3270  1 B 2.14
Rh 0.8120 0.6126 0.8270  1 B 2.14
Rh 0.3740 0.3996 0.3108  2 B 2.09-2.20
Rh 0.1940 0.4010 0.5384  2 B 2.12-2.13
Rh 0.3060 0.9010 0.9616  2 B 2.12-2.13
Rh 0.6940 0.0990 0.0384  2 B 2.12-2.13
Rh 0.1880 0.3874 0.1730  1 B 2.14
Mg 0.4544 0.7423 0.9916  7 Rh 2.56-2.85
Mg 0.5456 0.2577 0.0084  7 Rh 2.56-2.85
Mg 0.0456 0.2423 0.5084  7 Rh 2.56-2.85
Mg 0.9544 0.7577 0.4916  7 Rh 2.56-2.85
B 0.5481 0.7376 0.7637  5 Rh 2.09-2.20
B 0.0481 0.7624 0.2637  5 Rh 2.09-2.20
B 0.4519 0.2624 0.2363  5 Rh 2.09-2.20
B 0.9519 0.2376 0.7363  5 Rh 2.09-2.20

***

Entry 3:
A plane-wave DFT calculation with PBE-GGA was carried out for a geometry-optimized MgBRh3 structure.

Summary:
**Magnetic moment**: 0.000 Bohr magnetons per cell
**Energy above the lowest structure with this stoichiometry**: 0.771 eV/atom
**SG**: P4mm
**Uncorrected energy**: -5.703 eV per atom
**ΔH_f (0 K)**: 362.1 meV/atom

Cell: 3.6801 3.6801 6.5828 Å, 90.00 90.00 90.00°
With the nearest neighbours (Å) after each atom.
Atoms (fractional coordinates):
Mg 0.0000 0.0000 0.1096  5 Rh 2.59-2.77
Rh 0.5000 0.0000 0.4243  2 B 2.14
Rh 0.0000 0.5000 0.4243  2 B 2.14
Rh 0.0000 0.0000 0.7163  1 Mg 2.59, 4 Rh 2.66, 4 B 2.73
B 0.5000 0.5000 0.5892  4 Rh 2.14

***

Entry 4:
A plane-wave DFT calculation with PBE-GGA was carried out for a geometry-optimized MgBRh3 structure.

Summary:
**Magnetic moment**: 0.000 Bohr magnetons per cell
**Energy above the lowest structure with this stoichiometry**: 0.094 eV/atom
**SG**: P2_1/m
**Uncorrected energy**: -6.381 eV per atom
**ΔH_f (0 K)**: -315.4 meV/atom

Cell: 5.1632 5.5317 4.8247 Å, 90.00 92.78 90.00°
With the nearest neighbours (Å) after each atom.
Atoms (fractional coordinates):
Rh 0.2386 0.9951 0.8791  2 B 2.06-2.16
Rh 0.1669 0.7500 0.3878  1 B 2.03
Rh 0.2386 0.5049 0.8791  2 B 2.06-2.16
Rh 0.8331 0.2500 0.6122  1 B 2.03
Rh 0.7614 0.0049 0.1209  2 B 2.06-2.16
Rh 0.7614 0.4951 0.1209  2 B 2.06-2.16
B 0.4702 0.7500 0.1350  5 Rh 2.03-2.16
B 0.5298 0.2500 0.8650  5 Rh 2.03-2.16
Mg 0.3222 0.2500 0.3700  2 B 2.57-2.71, 4 Rh 2.77-2.83
Mg 0.6778 0.7500 0.6300  2 B 2.57-2.71, 4 Rh 2.77-2.83

***

Entry 5:
A plane-wave DFT calculation with PBE-GGA was carried out for a geometry-optimized MgB2Rh8 structure.

Summary:
**Magnetic moment**: 0.000 Bohr magnetons per cell
**SG**: C2/m
**Uncorrected energy**: -6.826 eV per atom
**ΔH_f (0 K)**: -120.3 meV/atom

Cell: 4.1806 6.1511 6.1511 Å, 107.62 98.82 98.82°
With the nearest neighbours (Å) after each atom.
Atoms (fractional coordinates):
Rh 0.9046 0.6715 0.9385  2 B 2.27-2.40
Rh 0.0954 0.3285 0.0615  2 B 2.27-2.40
Rh 0.2999 0.6210 0.6210  2 B 2.26
Rh 0.5000 0.7387 0.2613  2 B 2.16
Rh 0.9046 0.9385 0.6715  2 B 2.27-2.40
Rh 0.0954 0.0615 0.3285  2 B 2.27-2.40
Rh 0.5000 0.2613 0.7387  2 B 2.16
Rh 0.7001 0.3790 0.3790  2 B 2.26
B 0.0000 0.3163 0.6837  8 Rh 2.16-2.40
B 0.0000 0.6837 0.3163  8 Rh 2.16-2.40
Mg 0.5000 0.0000 0.0000  12 Rh 2.59-2.85

***

Entry 6:
A plane-wave DFT calculation with PBE-GGA was carried out for a geometry-optimized MgB2Rh2 structure.

Summary:
**Magnetic moment**: 0.000 Bohr magnetons per cell
**Energy above the lowest structure with this stoichiometry**: 0.049 eV/atom
**SG**: P4/mbm
**Uncorrected energy**: -6.227 eV per atom
**ΔH_f (0 K)**: -296.7 meV/atom

Cell: 6.2477 6.2477 2.7955 Å, 90.00 90.00 90.00°
With the nearest neighbours (Å) after each atom.
Atoms (fractional coordinates):
Rh 0.8165 0.3165 0.5000  6 B 2.32-2.35
Rh 0.1835 0.6835 0.5000  6 B 2.32-2.35
Rh 0.6835 0.8165 0.5000  6 B 2.32-2.35
Rh 0.3165 0.1835 0.5000  6 B 2.32-2.35
B 0.6023 0.1023 0.0000  1 B 1.81
B 0.3977 0.8977 0.0000  1 B 1.81
B 0.8977 0.6023 0.0000  1 B 1.81
B 0.1023 0.3977 0.0000  1 B 1.81
Mg 0.0000 0.0000 0.0000  4 B 2.57, 8 Rh 2.68, 2 Mg 2.80
Mg 0.5000 0.5000 0.0000  4 B 2.57, 8 Rh 2.68, 2 Mg 2.80

***

Entry 7:
A plane-wave DFT calculation with PBE-GGA was carried out for a geometry-optimized Mg2BRh4 structure.

Summary:
**Magnetic moment**: 0.087 Bohr magnetons per cell
**SG**: I4/mmm
**Uncorrected energy**: -5.822 eV per atom
**ΔH_f (0 K)**: -212.0 meV/atom

Cell: 4.0594 4.0594 7.1670 Å, 73.55 73.55 90.00°
With the nearest neighbours (Å) after each atom.
Atoms (fractional coordinates):
Rh 0.1578 0.1578 0.6845  1 B 2.07
Rh 0.0000 0.5000 0.0000  2 B 2.03
Rh 0.5000 0.0000 0.0000  2 B 2.03
Rh 0.8422 0.8422 0.3155  1 B 2.07
B 0.0000 0.0000 0.0000  6 Rh 2.03-2.07
Mg 0.3578 0.3578 0.2843  9 Rh 2.63-2.88
Mg 0.6422 0.6422 0.7157  9 Rh 2.63-2.88

***

Entry 8:
A plane-wave DFT calculation with PBE-GGA was carried out for a geometry-optimized MgBRh3 structure.

Summary:
**Magnetic moment**: 0.285 Bohr magnetons per cell
**Energy above the lowest structure with this stoichiometry**: 0.693 eV/atom
**SG**: Cmcm
**Uncorrected energy**: -5.782 eV per atom
**ΔH_f (0 K)**: 283.5 meV/atom

Cell: 7.2003 7.2003 5.0194 Å, 90.00 90.00 138.33°
With the nearest neighbours (Å) after each atom.
Atoms (fractional coordinates):
Rh 0.0000 0.0000 0.0000  2 B 2.07
Rh 0.0333 0.4888 0.7500  1 B 1.95
Rh 0.5112 0.9667 0.7500  1 B 1.95
Rh 0.9667 0.5112 0.2500  1 B 1.95
Rh 0.0000 0.0000 0.5000  2 B 2.07
Rh 0.4888 0.0333 0.2500  1 B 1.95
B 0.1221 0.8779 0.2500  4 Rh 1.95-2.07
B 0.8779 0.1221 0.7500  4 Rh 1.95-2.07
Mg 0.5915 0.4085 0.7500  6 Rh 2.78-3.11
Mg 0.4085 0.5915 0.2500  6 Rh 2.78-3.11

***

Entry 9:
A plane-wave DFT calculation with PBE-GGA was carried out for a geometry-optimized MgBRh3 structure.

Summary:
**Magnetic moment**: 0.005 Bohr magnetons per cell
**Energy above the lowest structure with this stoichiometry**: 0.942 eV/atom
**SG**: Cmcm
**Uncorrected energy**: -5.532 eV per atom
**ΔH_f (0 K)**: 533.1 meV/atom

Cell: 6.9682 6.9682 4.8879 Å, 90.00 90.00 125.87°
With the nearest neighbours (Å) after each atom.
Atoms (fractional coordinates):
Rh 0.3773 0.0578 0.7500  1 B 1.87
Rh 0.0578 0.3773 0.2500  1 B 1.87
Rh 0.9422 0.6227 0.7500  1 B 1.87
Rh 0.6227 0.9422 0.2500  1 B 1.87
Rh 0.0000 0.0000 0.0000  6 Rh 2.44-2.71, 2 Mg 2.61
Rh 0.0000 0.0000 0.5000  6 Rh 2.44-2.71, 2 Mg 2.61
B 0.3842 0.6158 0.2500  2 Rh 1.87
B 0.6158 0.3842 0.7500  2 Rh 1.87
Mg 0.8141 0.1859 0.7500  1 B 2.46, 4 Rh 2.61-2.62
Mg 0.1859 0.8141 0.2500  1 B 2.46, 4 Rh 2.61-2.62

***

Entry 10:
A plane-wave DFT calculation with PBE-GGA was carried out for a geometry-optimized MgBRh3 structure.

Summary:
**Magnetic moment**: 0.000 Bohr magnetons per cell
**Energy above the lowest structure with this stoichiometry**: 0.014 eV/atom
**SG**: P6_3/mmc
**Uncorrected energy**: -6.461 eV per atom
**ΔH_f (0 K)**: -395.5 meV/atom

Cell: 4.8600 5.6827 5.6819 Å, 120.01 90.00 89.99°
With the nearest neighbours (Å) after each atom.
Atoms (fractional coordinates):
B 0.1056 0.6421 0.9817  6 Rh 2.09
B 0.6056 0.6420 0.9817  6 Rh 2.09
Rh 0.3555 0.9872 0.1543  2 B 2.09
Rh 0.8555 0.8146 0.3269  2 B 2.09
Rh 0.3556 0.4694 0.1543  2 B 2.09
Rh 0.8556 0.2969 0.8091  2 B 2.09
Rh 0.3556 0.4695 0.6365  2 B 2.09
Rh 0.8555 0.8146 0.8091  2 B 2.09
Mg 0.8555 0.3087 0.3150  12 Rh 2.84-2.90
Mg 0.3555 0.9755 0.6484  12 Rh 2.84-2.90